(1)
This record from Alexandria describes crystalline YAlH2O4 at its relaxed geometry. The functional is PBE-GGA.

Calculated values
Spin magnetization (μB/cell): 0.0
E_tot (eV/atom): -6.86

Cell lengths 4.470, 4.635, 4.635 Å; angles 72.54, 61.18, 61.18 degrees
Element x y z (fractional)
O1 0.590 0.551 0.817
O2 0.959 0.449 0.183
O3 0.041 0.817 0.551
O4 0.410 0.183 0.449
Y1 0.000 0.000 0.000
Al1 0.500 0.500 0.500
H1 0.180 0.320 0.320
H2 0.820 0.680 0.680


(2)
This record from Alexandria describes crystalline AlH3Os at its relaxed geometry. The functional is PBE-GGA.

Calculated values
Excess energy over the best structure of this formula in the dataset (kJ/mol of formula units): 334.8
Spin magnetization (μB/cell): 1.2
E_tot (eV/atom): -3.96

Cell lengths 3.384, 3.384, 3.384 Å; angles 90.00, 90.00, 90.00 degrees
Element x y z (fractional)
H1 0.000 0.500 0.000
H2 0.000 0.000 0.500
H3 0.500 0.000 0.000
Os1 0.500 0.500 0.500
Al1 0.000 0.000 0.000


(3)
This record from Alexandria describes crystalline AlHOs3 at its relaxed geometry. The functional is PBE-GGA.

Calculated values
Excess energy over the best structure of this formula in the dataset (kJ/mol of formula units): 1110.0
Spin magnetization (μB/cell): 1.6
E_tot (eV/atom): -5.58

Cell lengths 4.445, 4.445, 4.445 Å; angles 90.00, 90.00, 90.00 degrees
Element x y z (fractional)
H1 0.500 0.500 0.500
Os1 0.000 0.500 0.000
Os2 0.000 0.000 0.500
Os3 0.500 0.000 0.000
Al1 0.000 0.000 0.000


(4)
This record from Alexandria describes crystalline AlH3Os at its relaxed geometry. The functional is PBE-GGA.

Calculated values
Excess energy over the best structure of this formula in the dataset (kJ/mol of formula units): 0.0
Spin magnetization (μB/cell): 0.0
E_tot (eV/atom): -4.66

Cell lengths 3.484, 3.484, 3.484 Å; angles 90.00, 90.00, 90.00 degrees
Element x y z (fractional)
H1 0.500 0.000 0.000
H2 0.000 0.500 0.000
H3 0.000 0.000 0.500
Al1 0.500 0.500 0.500
Os1 0.000 0.000 0.000


(5)
This record from Alexandria describes crystalline AlHOs3 at its relaxed geometry. The functional is PBE-GGA.

Calculated values
Excess energy over the best structure of this formula in the dataset (kJ/mol of formula units): 0.0
Spin magnetization (μB/cell): 0.0
E_tot (eV/atom): -7.89

Cell lengths 3.916, 3.916, 3.916 Å; angles 90.00, 90.00, 90.00 degrees
Element x y z (fractional)
Os1 0.500 0.000 0.000
Os2 0.000 0.000 0.500
Os3 0.000 0.500 0.000
H1 0.000 0.000 0.000
Al1 0.500 0.500 0.500


(6)
This record from Alexandria describes crystalline AlH5Os at its relaxed geometry. The functional is PBE-GGA.

Calculated values
Spin magnetization (μB/cell): 0.0
E_tot (eV/atom): -4.57

Cell lengths 4.434, 4.434, 6.139 Å; angles 73.03, 73.03, 97.09 degrees
Element x y z (fractional)
Al1 0.060 0.440 0.250
Al2 0.940 0.560 0.750
Os1 0.000 0.000 0.000
Os2 0.500 0.500 0.500
H1 0.350 0.273 0.361
H2 0.773 0.850 0.861
H3 0.287 0.794 0.489
H4 0.294 0.787 0.989
H5 0.227 0.150 0.139
H6 0.706 0.213 0.011
H7 0.650 0.727 0.639
H8 0.633 0.867 0.250
H9 0.713 0.206 0.511
H10 0.367 0.133 0.750


(7)
This record from Alexandria describes crystalline AlPHOs2 at its relaxed geometry. The functional is PBE-GGA.

Calculated values
Spin magnetization (μB/cell): 0.0
E_tot (eV/atom): -6.68

Cell lengths 4.085, 3.389, 4.085 Å; angles 90.00, 90.00, 90.00 degrees
Element x y z (fractional)
Os1 0.000 0.000 0.500
Os2 0.500 0.000 0.000
H1 0.000 0.000 0.000
Al1 0.000 0.500 0.000
P1 0.500 0.500 0.500


(8)
This record from Alexandria describes crystalline Al2PHOs at its relaxed geometry. The functional is PBE-GGA.

Calculated values
Spin magnetization (μB/cell): 0.0
E_tot (eV/atom): -4.97

Cell lengths 4.789, 3.372, 4.789 Å; angles 90.00, 90.00, 90.00 degrees
Element x y z (fractional)
Al1 0.500 0.000 0.000
Al2 0.000 0.000 0.500
Os1 0.000 0.000 0.000
H1 0.000 0.500 0.000
P1 0.500 0.500 0.500


(9)
This record from Alexandria describes crystalline AlHOsPb2 at its relaxed geometry. The functional is PBE-GGA.

Calculated values
Spin magnetization (μB/cell): 1.0
E_tot (eV/atom): -3.70

Cell lengths 5.465, 4.567, 5.465 Å; angles 90.00, 90.00, 90.00 degrees
Element x y z (fractional)
Pb1 0.000 0.000 0.500
Pb2 0.500 0.000 0.000
Os1 0.000 0.500 0.000
Al1 0.000 0.000 0.000
H1 0.500 0.500 0.500


(10)
This record from Alexandria describes crystalline Sc2AlHOs at its relaxed geometry. The functional is PBE-GGA.

Calculated values
Spin magnetization (μB/cell): 0.0
E_tot (eV/atom): -6.65

Cell lengths 4.501, 4.501, 3.637 Å; angles 90.00, 90.00, 90.00 degrees
Element x y z (fractional)
Sc1 0.500 0.000 0.000
Sc2 0.000 0.500 0.000
Os1 0.000 0.000 0.500
H1 0.000 0.000 0.000
Al1 0.500 0.500 0.500


(11)
This record from Alexandria describes crystalline AlSiH2Os at its relaxed geometry. The functional is PBE-GGA.

Calculated values
Spin magnetization (μB/cell): 0.0
E_tot (eV/atom): -4.78

Cell lengths 3.542, 4.912, 3.542 Å; angles 90.00, 90.00, 90.00 degrees
Element x y z (fractional)
Al1 0.000 0.500 0.000
H1 0.500 0.000 0.000
H2 0.000 0.000 0.500
Si1 0.500 0.500 0.500
Os1 0.000 0.000 0.000


(12)
This record from Alexandria describes crystalline Ta2AlHOs at its relaxed geometry. The functional is PBE-GGA.

Calculated values
Spin magnetization (μB/cell): 0.0
E_tot (eV/atom): -8.53

Cell lengths 4.123, 4.123, 3.976 Å; angles 90.00, 90.00, 90.00 degrees
Element x y z (fractional)
H1 0.000 0.000 0.000
Al1 0.500 0.500 0.500
Ta1 0.000 0.500 0.000
Ta2 0.500 0.000 0.000
Os1 0.000 0.000 0.500


(13)
This record from Alexandria describes crystalline Al2TcHOs at its relaxed geometry. The functional is PBE-GGA.

Calculated values
Spin magnetization (μB/cell): 0.0
E_tot (eV/atom): -6.64

Cell lengths 4.227, 4.227, 3.295 Å; angles 90.00, 90.00, 90.00 degrees
Element x y z (fractional)
Al1 0.500 0.000 0.000
Al2 0.000 0.500 0.000
Os1 0.500 0.500 0.500
H1 0.000 0.000 0.000
Tc1 0.000 0.000 0.500


(14)
This record from Alexandria describes crystalline AlV2HOs at its relaxed geometry. The functional is PBE-GGA.

Calculated values
Excess energy over the best structure of this formula in the dataset (kJ/mol of formula units): 0.0
Spin magnetization (μB/cell): 0.0
E_tot (eV/atom): -7.48

Cell lengths 3.824, 3.952, 3.824 Å; angles 90.00, 90.00, 90.00 degrees
Element x y z (fractional)
V1 0.500 0.000 0.000
V2 0.000 0.000 0.500
Os1 0.000 0.500 0.000
Al1 0.500 0.500 0.500
H1 0.000 0.000 0.000


(15)
This record from Alexandria describes crystalline AlV2HOs at its relaxed geometry. The functional is PBE-GGA.

Calculated values
Excess energy over the best structure of this formula in the dataset (kJ/mol of formula units): 11.2
Spin magnetization (μB/cell): 0.0
E_tot (eV/atom): -7.46

Cell lengths 3.703, 3.703, 4.184 Å; angles 90.00, 90.00, 90.00 degrees
Element x y z (fractional)
V1 0.000 0.500 0.000
V2 0.500 0.000 0.000
H1 0.000 0.000 0.000
Al1 0.000 0.000 0.500
Os1 0.500 0.500 0.500


(16)
This record from Alexandria describes crystalline Zr2AlHOs at its relaxed geometry. The functional is PBE-GGA.

Calculated values
Spin magnetization (μB/cell): 0.0
E_tot (eV/atom): -7.44

Cell lengths 4.437, 4.437, 3.852 Å; angles 90.00, 90.00, 90.00 degrees
Element x y z (fractional)
Os1 0.000 0.000 0.500
Zr1 0.500 0.000 0.000
Zr2 0.000 0.500 0.000
Al1 0.500 0.500 0.500
H1 0.000 0.000 0.000


(17)
This record from Alexandria describes crystalline Al2PH at its relaxed geometry. The functional is PBE-GGA.

Calculated values
Excess energy over the best structure of this formula in the dataset (kJ/mol of formula units): 0.0
Spin magnetization (μB/cell): 0.0
E_tot (eV/atom): -4.04

Cell lengths 4.372, 4.372, 7.124 Å; angles 72.13, 72.13, 90.00 degrees
Element x y z (fractional)
H1 0.250 0.750 0.500
H2 0.500 0.500 0.000
Al1 0.375 0.451 0.750
Al2 0.549 0.125 0.250
Al3 0.875 0.799 0.750
Al4 0.201 0.625 0.250
P1 0.000 0.000 0.000
P2 0.750 0.250 0.500


(18)
This record from Alexandria describes crystalline AlP3H at its relaxed geometry. The functional is PBE-GGA.

Calculated values
Excess energy over the best structure of this formula in the dataset (kJ/mol of formula units): 0.0
Spin magnetization (μB/cell): 0.0
E_tot (eV/atom): -3.99

Cell lengths 3.984, 3.984, 3.984 Å; angles 90.00, 90.00, 90.00 degrees
Element x y z (fractional)
P1 0.000 0.500 0.000
P2 0.000 0.000 0.500
P3 0.500 0.000 0.000
Al1 0.500 0.500 0.500
H1 0.000 0.000 0.000


(19)
This record from Alexandria describes crystalline AlP2H at its relaxed geometry. The functional is PBE-GGA.

Calculated values
Excess energy over the best structure of this formula in the dataset (kJ/mol of formula units): 66.6
Spin magnetization (μB/cell): 0.0
E_tot (eV/atom): -3.93

Cell lengths 4.142, 4.142, 4.142 Å; angles 60.00, 60.00, 60.00 degrees
Element x y z (fractional)
H1 0.000 0.000 0.000
P1 0.750 0.750 0.750
P2 0.250 0.250 0.250
Al1 0.500 0.500 0.500


(20)
This record from Alexandria describes crystalline AlP2H at its relaxed geometry. The functional is PBE-GGA.

Calculated values
Excess energy over the best structure of this formula in the dataset (kJ/mol of formula units): 0.0
Spin magnetization (μB/cell): 0.0
E_tot (eV/atom): -4.10

Cell lengths 4.457, 4.457, 6.702 Å; angles 70.58, 70.58, 90.00 degrees
Element x y z (fractional)
Al1 0.750 0.250 0.500
Al2 0.000 0.000 0.000
P1 0.516 0.125 0.250
P2 0.375 0.484 0.750
P3 0.875 0.766 0.750
P4 0.234 0.625 0.250
H1 0.250 0.750 0.500
H2 0.500 0.500 0.000